# 1
Below is a relaxed NaCd2H crystal, with properties calculated at the PBE-GGA level.

Values from the calculation:
Final energy = -1.475 eV per atom
SG = I-42d
Crystal system = tetragonal
ρ = 5.23 g/cm³

Cell lengths 7.709, 7.709, 6.065 Å; angles 50.54, 50.54, 90.00 degrees
Fractional positions:
Na 0.000 0.000 0.000
Na 0.750 0.250 0.500
H 0.500 0.500 0.000
H 0.250 0.750 0.500
Cd 0.542 0.125 0.250
Cd 0.208 0.625 0.250
Cd 0.375 0.458 0.750
Cd 0.875 0.792 0.750

---

# 2
Below is a relaxed NaCd2H crystal, with properties calculated at the PBE-GGA level.

Values from the calculation:
Final energy = -1.179 eV per atom
SG = Fm-3m
Crystal system = cubic
ρ = 4.85 g/cm³

Cell lengths 4.938, 4.938, 4.938 Å; angles 60.00, 60.00, 60.00 degrees
Fractional positions:
Na 0.500 0.500 0.500
H 0.000 0.000 0.000
Cd 0.250 0.250 0.250
Cd 0.750 0.750 0.750

---

# 3
Below is a relaxed Na3CdH4 crystal, with properties calculated at the PBE-GGA level.

Values from the calculation:
Final energy = -2.302 eV per atom
SG = Pmn2_1
Crystal system = orthorhombic
ρ = 2.09 g/cm³

Cell lengths 5.185, 8.010, 7.107 Å; angles 90.00, 90.00, 90.00 degrees
Fractional positions:
Na 0.513 0.873 0.000
Na 0.019 0.678 0.258
Na 0.519 0.322 0.242
Na 0.013 0.127 0.500
Na 0.519 0.322 0.758
Na 0.019 0.678 0.742
Cd 0.003 0.107 0.000
Cd 0.503 0.893 0.500
H 0.060 0.869 0.000
H 0.648 0.146 0.000
H 0.126 0.202 0.214
H 0.626 0.798 0.286
H 0.148 0.854 0.500
H 0.560 0.131 0.500
H 0.626 0.798 0.714
H 0.126 0.202 0.786

---

# 4
Below is a relaxed NaCd4H2 crystal, with properties calculated at the PBE-GGA level.

Values from the calculation:
Final energy = -1.510 eV per atom
SG = P-1
Crystal system = triclinic
ρ = 5.90 g/cm³

Cell lengths 3.132, 5.163, 8.886 Å; angles 108.74, 78.93, 91.83 degrees
Fractional positions:
Na 0.000 0.500 0.000
Cd 0.410 0.096 0.184
Cd 0.682 0.308 0.642
Cd 0.590 0.904 0.816
Cd 0.318 0.692 0.358
H 0.262 0.231 0.485
H 0.738 0.769 0.515

---

# 5
Below is a relaxed Na3CdH crystal, with properties calculated at the PBE-GGA level.

Values from the calculation:
Final energy = -1.671 eV per atom
SG = Pm-3m
Crystal system = cubic
ρ = 2.67 g/cm³

Cell lengths 4.840, 4.840, 4.840 Å; angles 90.00, 90.00, 90.00 degrees
Fractional positions:
Na 0.000 0.500 0.000
Na 0.000 0.000 0.500
Na 0.500 0.000 0.000
H 0.000 0.000 0.000
Cd 0.500 0.500 0.500

---

# 6
Below is a relaxed Na4CdH2 crystal, with properties calculated at the PBE-GGA level.

Values from the calculation:
Final energy = -1.704 eV per atom
SG = I4/mmm
Crystal system = tetragonal
ρ = 1.61 g/cm³

Cell lengths 5.975, 5.975, 7.302 Å; angles 65.85, 65.85, 90.00 degrees
Fractional positions:
Na 0.745 0.745 0.509
Na 0.255 0.255 0.491
Na 0.000 0.500 0.000
Na 0.500 0.000 0.000
H 0.532 0.532 0.936
H 0.468 0.468 0.064
Cd 0.000 0.000 0.000